The following is a PBEsol calculation of AgTe2OsI after structural relaxation, from Alexandria via LeMat-Bulk.

Structure (extended XYZ):
```
5
Lattice="5.3051 0.0000 0.0000 0.0000 5.3051 0.0000 0.0000 0.0000 5.2733" Properties=species:S:1:pos:R:3 pbc="T T T"
Ag 0.0000 0.0000 0.0000
Te 0.0000 2.6526 0.0000
Te 2.6526 0.0000 0.0000
Os 2.6526 2.6526 2.6367
I 0.0000 0.0000 2.6367
```

Calculated values
Total moment: 3.864 Bohr magnetons per cell
ΔE to the lowest computed polymorph: 927 meV per atom
ΔE_f (raw): 168.0 kJ/mol of atoms